(1)
The following is a DFT calculation (PBE) of crystalline Co2Ag at its relaxed geometry.

a b c (Å): 5.7482 5.7427 5.7427
angles (deg): 152.54 152.55 39.21
Each line ends with the local moment (μB).
Sites, in units of the cell vectors:
Co 0.6873 0.6868 0.0005  1.73
Co 0.3127 0.3132 0.9995  1.73
Ag 0.0000 0.0000 0.0000  0.00

- energy above the most stable polymorph in this dataset (meV/atom) = 8

=====

(2)
The following is a DFT calculation (PBE) of crystalline PmScCd4 at its relaxed geometry.

a b c (Å): 4.9471 6.7799 9.2246
angles (deg): 68.44 90.00 90.00
Sites, in units of the cell vectors:
Pm 0.7500 0.6205 0.2590
Sc 0.2500 0.8686 0.7627
Cd 0.7500 0.5485 0.9168
Cd 0.2500 0.8112 0.4163
Cd 0.2500 0.2725 0.4163
Cd 0.7500 0.1888 0.5837
Cd 0.7500 0.7275 0.5837
Cd 0.7500 0.0347 0.9168
Sc 0.7500 0.1314 0.2373
Cd 0.2500 0.9653 0.0832
Pm 0.2500 0.3795 0.7410
Cd 0.2500 0.4515 0.0832

- energy above the most stable polymorph in this dataset (meV/atom) = 0

=====

(3)
The following is a DFT calculation (PBE) of crystalline LiTm2Nb3N6 at its relaxed geometry.

a b c (Å): 3.1672 6.4568 7.2775
angles (deg): 105.29 102.57 90.00
Sites, in units of the cell vectors:
Nb 0.8447 0.1811 0.6894
Tm 0.1605 0.3166 0.3209
Nb 0.5000 0.5000 0.0000
Tm 0.8395 0.6834 0.6791
N 0.3295 0.9370 0.6591
Li 0.5000 0.0000 0.0000
N 0.0046 0.7454 0.0093
N 0.6659 0.5884 0.3319
N 0.3341 0.4116 0.6681
N 0.9954 0.2546 0.9907
N 0.6705 0.0630 0.3409
Nb 0.1553 0.8189 0.3106

- E_form (uncorrected) (meV per atom) = -1290

=====

(4)
The following is a DFT calculation (PBE) of crystalline GaAg4Au3 at its relaxed geometry.

a b c (Å): 2.8358 4.7253 16.3703
angles (deg): 131.53 94.97 90.00
Sites, in units of the cell vectors:
Ag 0.1327 0.4167 0.2653
Au 0.2013 0.2345 0.4027
Au 0.7987 0.7655 0.5973
Ag 0.4016 0.2445 0.8031
Ga 0.5000 0.0000 0.0000
Au 0.0000 0.5000 0.0000
Ag 0.5984 0.7555 0.1969
Ag 0.8673 0.5833 0.7347

- energy above the most stable polymorph in this dataset (meV/atom) = 108

=====

(5)
The following is a DFT calculation (PBE) of crystalline ZnReTe at its relaxed geometry.

a b c (Å): 4.7611 4.7611 2.8104
angles (deg): 90.00 90.00 120.00
Sites, in units of the cell vectors:
Zn 0.6667 0.3333 0.6666
Te 0.3333 0.6667 0.1666
Re 0.0000 0.0000 0.1668

- E_form (uncorrected) (meV per atom) = 782
- energy above the most stable polymorph in this dataset (meV/atom) = 350

=====

(6)
The following is a DFT calculation (PBE) of crystalline NaHg5Pd4 at its relaxed geometry.

a b c (Å): 3.3886 3.3886 16.7886
angles (deg): 90.00 90.00 90.00
Sites, in units of the cell vectors:
Hg 0.5000 0.5000 0.8799
Pd 0.0000 0.0000 0.4066
Hg 0.5000 0.5000 0.3121
Na 0.0000 0.0000 0.0000
Hg 0.5000 0.5000 0.5000
Pd 0.0000 0.0000 0.2198
Hg 0.5000 0.5000 0.1201
Pd 0.0000 0.0000 0.7802
Pd 0.0000 0.0000 0.5934
Hg 0.5000 0.5000 0.6879

- DFT total energy (eV/atom) = -2.516

=====

(7)
The following is a DFT calculation (PBE) of crystalline AcTe2Br at its relaxed geometry.

a b c (Å): 6.0253 6.0253 5.4599
angles (deg): 56.51 56.51 60.00
Sites, in units of the cell vectors:
Ac 0.5000 0.5000 0.5000
Br 0.0000 0.0000 0.0000
Te 0.2232 0.2232 0.3303
Te 0.7768 0.7768 0.6697

- E_form (uncorrected) (meV per atom) = -851

=====

(8)
The following is a DFT calculation (PBE) of crystalline Cu3SiRu at its relaxed geometry.

a b c (Å): 4.5882 4.5882 4.5882
angles (deg): 90.00 90.00 90.00
Sites, in units of the cell vectors:
Cu 0.0000 0.5000 0.0000
Cu 0.0000 0.0000 0.5000
Si 0.5000 0.5000 0.5000
Cu 0.5000 0.0000 0.0000
Ru 0.0000 0.0000 0.0000

- E_form (uncorrected) (meV per atom) = 1430
- energy above the most stable polymorph in this dataset (meV/atom) = 573

=====

(9)
The following is a DFT calculation (PBE) of crystalline ZrPaTaRu at its relaxed geometry.

a b c (Å): 4.8232 4.8232 4.8232
angles (deg): 60.00 60.00 60.00
Sites, in units of the cell vectors:
Zr 0.7500 0.7500 0.7500
Ru 0.0000 0.0000 0.0000
Pa 0.2500 0.2500 0.2500
Ta 0.5000 0.5000 0.5000

- DFT total energy (eV/atom) = -9.900

=====

(10)
The following is a DFT calculation (PBE) of crystalline TbNdPd4 at its relaxed geometry.

a b c (Å): 3.9532 3.9535 8.6926
angles (deg): 90.00 90.00 90.00
Sites, in units of the cell vectors:
Pd 0.5012 0.9970 0.7421
Pd 0.0014 0.4975 0.2541
Tb 0.0013 0.9972 0.4982
Pd 0.5014 0.9976 0.2541
Pd 0.0012 0.4971 0.7421
Nd 0.5013 0.4973 0.9982

- energy above the most stable polymorph in this dataset (meV/atom) = 285

=====

(11)
The following is a DFT calculation (PBE) of crystalline Mo2WSe at its relaxed geometry.

a b c (Å): 8.3287 8.3287 8.3287
angles (deg): 21.26 21.26 21.26
Sites, in units of the cell vectors:
Mo 0.0008 0.0008 0.0008
W 0.7500 0.7500 0.7500
Mo 0.4992 0.4992 0.4992
Se 0.2500 0.2500 0.2500

- E_form (uncorrected) (meV per atom) = 320

=====

(12)
The following is a DFT calculation (PBE) of crystalline KTaB2 at its relaxed geometry.

a b c (Å): 4.3560 4.3560 4.3560
angles (deg): 60.00 60.00 60.00
Sites, in units of the cell vectors:
K 0.0000 0.0000 0.0000
Ta 0.5000 0.5000 0.5000
B 0.2500 0.2500 0.2500
B 0.7500 0.7500 0.7500

- energy above the most stable polymorph in this dataset (meV/atom) = 621

=====

(13)
The following is a DFT calculation (PBE) of crystalline PmPrScAu at its relaxed geometry.

a b c (Å): 5.3456 5.3456 5.3456
angles (deg): 60.00 60.00 60.00
Sites, in units of the cell vectors:
Pm 0.5000 0.5000 0.5000
Au 0.7500 0.7500 0.7500
Sc 0.2500 0.2500 0.2500
Pr 0.0000 0.0000 0.0000

- DFT total energy (eV/atom) = -4.950

=====

(14)
The following is a DFT calculation (PBE) of crystalline Pr2Ni3Ir at its relaxed geometry.

a b c (Å): 5.2373 5.2373 5.3018
angles (deg): 89.99 119.64 119.97
Sites, in units of the cell vectors:
Ni 0.5000 0.5000 0.5000
Ni 0.5000 0.0000 0.5000
Ir 0.0000 0.0000 0.0000
Ni 0.0000 0.0000 0.5000
Pr 0.2496 0.6248 0.8744
Pr 0.7504 0.3752 0.1256

- energy above the most stable polymorph in this dataset (meV/atom) = 0

=====

(15)
The following is a DFT calculation (PBE) of crystalline Mg2Hg2W at its relaxed geometry.

a b c (Å): 7.8545 7.8545 3.0723
angles (deg): 90.00 90.00 90.00
Sites, in units of the cell vectors:
Hg 0.6647 0.8353 0.5000
W 0.5000 0.5000 0.0000
Hg 0.8353 0.3353 0.5000
Mg 0.1361 0.3639 0.0000
Mg 0.3639 0.8639 0.0000
Mg 0.6361 0.1361 0.0000
W 0.0000 0.0000 0.0000
Hg 0.3353 0.1647 0.5000
Hg 0.1647 0.6647 0.5000
Mg 0.8639 0.6361 0.0000

- energy above the most stable polymorph in this dataset (meV/atom) = 0

=====

(16)
The following is a DFT calculation (PBE) of crystalline AlZn2Cu7Ge2 at its relaxed geometry.

a b c (Å): 3.5000 3.5000 14.2355
angles (deg): 83.14 83.14 90.05
Sites, in units of the cell vectors:
Ge 0.1846 0.1846 0.6326
Zn 0.6373 0.6373 0.7248
Cu 0.9306 0.4311 0.1390
Cu 0.5689 0.0694 0.8610
Cu 0.4311 0.9306 0.1390
Cu 0.7291 0.7291 0.5443
Al 0.0000 0.0000 0.0000
Cu 0.0694 0.5689 0.8610
Cu 0.5000 0.5000 0.0000
Ge 0.8154 0.8154 0.3674
Cu 0.2709 0.2709 0.4557
Zn 0.3627 0.3627 0.2752

- DFT total energy (eV/atom) = -3.624

=====

(17)
The following is a DFT calculation (PBE) of crystalline Li2SiSe at its relaxed geometry.

a b c (Å): 4.5276 4.5276 5.1655
angles (deg): 78.14 78.14 40.25
Sites, in units of the cell vectors:
Li 0.0048 0.0048 0.0039
Li 0.4952 0.4952 0.4961
Se 0.7500 0.7500 0.7500
Si 0.2500 0.2500 0.2500

- E_form (uncorrected) (meV per atom) = -260
- energy above the most stable polymorph in this dataset (meV/atom) = 215

=====

(18)
The following is a DFT calculation (PBE) of crystalline AgAsSe2Br at its relaxed geometry.

a b c (Å): 5.1275 5.1275 4.9999
angles (deg): 90.00 90.00 90.00
Sites, in units of the cell vectors:
Se 0.5000 0.0000 0.0000
As 0.5000 0.5000 0.5000
Br 0.0000 0.0000 0.5000
Ag 0.0000 0.0000 0.0000
Se 0.0000 0.5000 0.0000

- E_form (uncorrected) (meV per atom) = 704
- energy above the most stable polymorph in this dataset (meV/atom) = 339

=====

(19)
The following is a DFT calculation (PBE) of crystalline BeIr2Pb at its relaxed geometry.

a b c (Å): 4.9731 4.9731 4.9731
angles (deg): 133.83 133.83 67.36
Sites, in units of the cell vectors:
Pb 0.5000 0.5000 0.0000
Ir 0.0000 0.0000 0.0000
Be 0.7500 0.2500 0.5000
Ir 0.2500 0.7500 0.5000

- energy above the most stable polymorph in this dataset (meV/atom) = 343

=====

(20)
The following is a DFT calculation (PBE) of crystalline NaTlSe2Br at its relaxed geometry.

a b c (Å): 5.4887 5.4887 5.5856
angles (deg): 90.00 90.00 90.00
Each line ends with the local moment (μB).
Sites, in units of the cell vectors:
Br 0.0000 0.0000 0.5000  0.22
Na 0.0000 0.0000 0.0000  0.00
Tl 0.5000 0.5000 0.5000  0.01
Se 0.5000 0.0000 0.0000  0.81
Se 0.0000 0.5000 0.0000  0.81

- E_form (uncorrected) (meV per atom) = -11
- energy above the most stable polymorph in this dataset (meV/atom) = 174

=====

For each record above, in turn, the calculated magnetization values are 3.41; 0.00; 0.00; 0.00; 0.00; 0.00; 0.00; 0.00; 0.00; 0.00; 0.00; 0.00; 0.00; 0.00; 0.00; 0.00; 0.00; 0.00; 0.00; 2.98 μB/f.u..
For each record above, in turn, the calculated DOS(E_F) values are 0.853; 0.975; 0.215; 0.313; 1.222; 0.308; 0.241; 0.951; 1.159; 0.478; 1.189; 0.658; 1.156; 0.904; 0.323; 0.264; 0.433; 0.714; 0.941; 0.939 states/eV/atom.